Computed, not measured: an optimized crystal structure of PrSiTe at the PBE-GGA level of DFT.

Cell: 4.184 18.107 4.139 Å, 90.00 90.00 90.00°
Space group Cmcm (No. 63)
Inequivalent atoms, fractional coordinates:
Pr  0.000  0.101  0.250 (multiplicity 4)
Si  0.000  0.469  0.250 (multiplicity 4)
Te  0.000  0.313  0.250 (multiplicity 4)

Computed properties:
Final energy: -5.30 eV/atom
Energy relative to the elements, uncorrected: -0.849 eV per atom


Computed, not measured: an optimized crystal structure of Nb2Cl2O at the PBE-GGA level of DFT.

Cell: 5.918 5.918 4.852 Å, 90.00 90.00 90.00°
Space group P4/mbm (No. 127)
Inequivalent atoms, fractional coordinates:
Nb  0.190  0.310  0.000 (multiplicity 4)
Cl  0.187  0.313  0.500 (multiplicity 4)
O  0.000  0.000  0.000 (multiplicity 2)

Computed properties:
Final energy: -6.79 eV/atom
Energy relative to the elements, uncorrected: -1.030 eV per atom


Computed, not measured: an optimized crystal structure of Ac2SiSnPd6 at the PBE-GGA level of DFT.

Cell: 11.792 5.743 8.408 Å, 90.00 128.96 90.00°
Space group C2/m (No. 12)
Inequivalent atoms, fractional coordinates:
Ac  0.250  0.000  0.223 (multiplicity 4)
Si  0.000  0.000  0.500 (multiplicity 2)
Sn  0.000  0.500  0.000 (multiplicity 2)
Pd  0.008  0.245  0.273 (multiplicity 8)
Pd  0.245  0.000  0.610 (multiplicity 4)

Computed properties:
Final energy: -5.65 eV/atom
Energy relative to the elements, uncorrected: -0.767 eV per atom


Computed, not measured: an optimized crystal structure of MgCd2Ni at the PBE-GGA level of DFT.

Cell: 10.809 3.202 4.657 Å, 90.00 113.68 90.00°
Space group C2/m (No. 12)
Inequivalent atoms, fractional coordinates:
Mg  0.000  0.000  0.000 (multiplicity 2)
Cd  0.213  0.000  0.714 (multiplicity 4)
Ni  0.000  0.500  0.500 (multiplicity 2)

Computed properties:
Final energy: -2.34 eV/atom
Energy relative to the elements: -0.0390 eV per atom


Computed, not measured: an optimized crystal structure of Ca2CoPt at the PBE-GGA level of DFT.

Cell: 3.528 3.528 6.798 Å, 90.00 90.00 90.00°
Space group P4/mmm (No. 123)
Inequivalent atoms, fractional coordinates:
Ca  0.000  0.000  0.245 (multiplicity 2)
Co  0.500  0.500  0.500 (multiplicity 1)
Pt  0.500  0.500  0.000 (multiplicity 1)

Computed properties:
Final energy: -4.47 eV/atom
Energy relative to the elements: -0.1856 eV per atom


Computed, not measured: an optimized crystal structure of HfPPdCl2 at the PBE-GGA level of DFT.

Cell: 4.634 4.634 4.963 Å, 90.00 90.00 90.00°
Space group P4/mmm (No. 123)
Inequivalent atoms, fractional coordinates:
Hf  0.000  0.000  0.000 (multiplicity 1)
P  0.500  0.500  0.000 (multiplicity 1)
Pd  0.500  0.500  0.500 (multiplicity 1)
Cl  0.000  0.500  0.500 (multiplicity 2)

Computed properties:
Final energy: -4.56 eV/atom
Energy relative to the elements, uncorrected: 0.291 eV per atom